The following is a GGA-PBE calculation of LiAcGa2Au4 after structural relaxation, from the Alexandria database.

Unit cell a=4.5742 b=4.5742 c=9.3370 alpha=75.82 beta=75.82 gamma=60.00
Last column: nearest neighbours and their distance in Å.
Atoms (fractional coordinates):
1 Li 0.5000 0.5000 0.5000  8 Au 2.63-2.78
2 Ac 0.0000 0.0000 0.0000  6 Au 3.23
3 Ga 0.7626 0.7626 0.7121  7 Au 2.74-2.84
4 Ga 0.2374 0.2374 0.2879  7 Au 2.74-2.84
5 Au 0.4023 0.4023 0.7931  1 Li 2.63, 3 Ga 2.74
6 Au 0.8651 0.8651 0.4047  4 Ga 2.75-2.84, 3 Li 2.78
7 Au 0.1349 0.1349 0.5953  4 Ga 2.75-2.84, 3 Li 2.78
8 Au 0.5977 0.5977 0.2069  1 Li 2.63, 3 Ga 2.74

Calculated values
- Space group: R-3m (166)
- Energy of formation: -0.554 eV per atom


The following is a GGA-PBE calculation of BaLaHg2 after structural relaxation, from the Alexandria database.

Unit cell a=5.5408 b=5.5408 c=5.5408 alpha=60.00 beta=60.00 gamma=60.00
Last column: nearest neighbours and their distance in Å.
Atoms (fractional coordinates):
1 Ba 0.5000 0.5000 0.5000  4 Hg 3.39, 4 La 3.39
2 Hg 0.0000 0.0000 0.0000  4 La 3.39, 4 Hg 3.39
3 Hg 0.7500 0.7500 0.7500  4 Hg 3.39, 4 Ba 3.39
4 La 0.2500 0.2500 0.2500  4 Ba 3.39, 4 Hg 3.39

Calculated values
- Space group: F-43m (216)
- Energy of formation: -0.140 eV per atom


The following is a GGA-PBE calculation of TbSmRu after structural relaxation, from the Alexandria database.

Unit cell a=3.3986 b=7.1023 c=6.8509 alpha=104.09 beta=90.00 gamma=89.98
Last column: nearest neighbours and their distance in Å.
Atoms (fractional coordinates):
1 Tb 0.5632 0.8231 0.0875  4 Ru 2.92
2 Tb 0.5630 0.3052 0.2086  4 Ru 2.92
3 Sm 0.5632 0.8177 0.5847  4 Ru 2.96
4 Sm 0.5628 0.3106 0.7114  4 Ru 2.96
5 Ru 0.0630 0.0636 0.9008  4 Tb 2.92, 4 Sm 2.96
6 Ru 0.0630 0.0648 0.3953  4 Tb 2.92, 4 Sm 2.96

Calculated values
- Distance to the lowest polymorph of the same formula: 39.2 meV per atom
- Space group: P2/m (10)
- Energy of formation: -0.226 eV per atom


The following is a GGA-PBE calculation of K2TaPO6 after structural relaxation, from the Alexandria database.

Unit cell a=5.3493 b=5.3493 c=5.3493 alpha=60.00 beta=60.00 gamma=90.00
Last column: nearest neighbours and their distance in Å.
Atoms (fractional coordinates):
1 K 0.7500 0.2500 0.5000  12 O 2.68
2 K 0.2500 0.7500 0.5000  12 O 2.68
3 Ta 0.0000 0.0000 0.0000  6 O 2.02
4 P 0.5000 0.5000 0.0000  6 O 1.76
5 O 0.2675 0.2675 0.4651  1 P 1.76
6 O 0.7326 0.7326 0.9999  1 P 1.76
7 O 0.2675 0.7325 0.0000  1 P 1.76
8 O 0.7325 0.2675 0.0000  1 P 1.76
9 O 0.2674 0.2674 0.0001  1 P 1.76
10 O 0.7325 0.7325 0.5349  1 P 1.76

Calculated values
- Uncorrected formation energy: -21.0 eV per formula unit
- Space group: Fm-3m (225)


We obtain N(E_F) values of 3.6; 4.6; 2.9; 0.0 states/eV per cell for the records listed above, in that order.